# 1
## Rb3Tl2Cd9 (PBE)

Data for Rb3Tl2Cd9 after structural relaxation.

Cell and atoms, written as extended XYZ:
```
14
Lattice="-2.694 5.205 7.796 2.694 -5.205 7.796 2.694 5.205 -7.796" Properties=species:S:1:pos:R:3 pbc="T T T"
Rb 0.000 0.000 0.000
Rb 0.000 0.000 4.560
Rb 0.000 0.000 11.031
Tl 2.694 3.293 0.000
Tl 0.000 1.912 7.796
Cd 2.694 -1.525 2.615
Cd 2.694 -2.159 5.631
Cd 2.694 1.525 2.615
Cd 0.000 3.046 2.165
Cd 0.000 5.205 0.000
Cd 2.694 2.159 5.631
Cd 0.000 3.680 5.181
Cd 0.000 7.364 2.165
Cd 0.000 6.730 5.181
```

Computed properties:
* ΔH_f (0 K): -63 kJ/mol of formula units
* total moment: 0.00 μB/cell



# 2
## Sc4CdNi (PBE)

Data for Sc4CdNi after structural relaxation.

Cell and atoms, written as extended XYZ:
```
24
Lattice="0.000 6.328 6.328 6.328 0.000 6.328 6.328 6.328 0.000" Properties=species:S:1:pos:R:3 pbc="T T T"
Sc 8.236 4.419 4.419
Sc 3.164 3.164 0.799
Sc 3.164 0.799 3.164
Sc 5.528 3.164 3.164
Sc 6.328 6.328 2.367
Sc 6.328 2.367 6.328
Sc 10.288 6.328 6.328
Sc 0.799 3.164 3.164
Sc 3.164 5.528 3.164
Sc 3.164 3.164 5.528
Sc 4.419 8.236 4.419
Sc 4.419 4.419 8.236
Sc 8.236 8.236 8.236
Sc 2.367 6.328 6.328
Sc 6.328 10.288 6.328
Sc 6.328 6.328 10.288
Cd 5.274 5.274 5.274
Cd 7.381 7.381 5.274
Cd 7.381 5.274 7.381
Cd 5.274 7.381 7.381
Ni 10.848 8.135 8.135
Ni 8.135 10.848 8.135
Ni 8.135 8.135 10.848
Ni 10.848 10.848 10.848
```

Computed properties:
* ΔH_f (0 K): -176 kJ/mol of formula units
* total moment: 0.00 μB/cell



# 3
## VCrCd2Ru (PBE)

Data for VCrCd2Ru after structural relaxation.

Cell and atoms, written as extended XYZ:
```
5
Lattice="4.986 0.000 0.000 0.000 4.986 0.000 0.000 0.000 3.958" Properties=species:S:1:pos:R:3 pbc="T T T"
V 0.000 0.000 0.000
Cr 0.000 0.000 1.979
Cd 0.000 2.493 1.979
Cd 2.493 0.000 1.979
Ru 2.493 2.493 0.000
```

Computed properties:
* ΔH_f (0 K): 616 kJ/mol of formula units
* total moment: 1.94 μB/cell



# 4
## TbPrNd2Bi4 (PBE)

Data for TbPrNd2Bi4 after structural relaxation.

Cell and atoms, written as extended XYZ:
```
8
Lattice="7.947 0.000 0.000 0.000 4.592 0.000 -2.650 0.000 7.494" Properties=species:S:1:pos:R:3 pbc="T T T"
Tb 0.000 0.000 0.000
Pr 3.974 2.296 0.000
Nd -1.325 2.296 3.747
Nd 2.649 0.000 3.747
Bi 1.291 2.296 1.841
Bi -0.035 0.000 5.630
Bi 5.333 0.000 1.864
Bi 4.007 2.296 5.653
```

Computed properties:
* ΔH_f (0 K): -718 kJ/mol of formula units
* total moment: 0.00 μB/cell



# 5
## CaDy2In (PBE)

Data for CaDy2In after structural relaxation.

Cell and atoms, written as extended XYZ:
```
4
Lattice="0.000 3.881 3.881 3.881 0.000 3.881 3.881 3.881 0.000" Properties=species:S:1:pos:R:3 pbc="T T T"
Ca 0.000 0.000 0.000
Dy 1.941 1.941 1.941
Dy 5.822 5.822 5.822
In 3.881 3.881 3.881
```

Computed properties:
* ΔH_f (0 K): -52 kJ/mol of formula units
* total moment: 0.00 μB/cell



# 6
## CdB (PBE)

Data for CdB after structural relaxation.

Cell and atoms, written as extended XYZ:
```
4
Lattice="4.050 0.000 0.000 0.000 5.687 0.000 -1.221 0.000 2.916" Properties=species:S:1:pos:R:3 pbc="T T T"
Cd -0.305 1.220 0.729
Cd -0.916 4.467 2.187
B 1.720 2.845 0.729
B 1.109 2.841 2.187
```

Computed properties:
* ΔH_f (0 K): 70 kJ/mol of formula units
* total moment: 0.00 μB/cell